Record 1
ScTi2GaB: relaxed, PBE-GGA.

Values from the calculation:
- space group = P4/mmm (123)
- mass density (g/cm3) = 3.5
- energy of formation (meV/atom) = 1818

Lattice parameters (Å, degrees): 4.5863 4.9405 4.5863 90.00 90.00 90.00
Fractional coordinates of all 5 atoms:
Sc1 0.0000 0.0000 0.0000
B1 0.5000 0.5000 0.5000
Ga1 0.0000 0.5000 0.0000
Ti1 0.0000 0.0000 0.5000
Ti2 0.5000 0.0000 0.0000


Record 2
ScVGaB2: relaxed, PBE-GGA.

Values from the calculation:
- space group = P4/mmm (123)
- mass density (g/cm3) = 3.6
- energy of formation (meV/atom) = 1818

Lattice parameters (Å, degrees): 4.3718 4.5531 4.3718 90.00 90.00 90.00
Each line ends with the local moment (μB).
Fractional coordinates of all 5 atoms:
Sc1 0.0000 0.0000 0.0000  -0.05
B1 0.0000 0.0000 0.5000  -0.07
B2 0.5000 0.0000 0.0000  -0.09
Ga1 0.5000 0.5000 0.5000  -0.02
V1 0.0000 0.5000 0.0000  1.19


Record 3
ScGaB2W: relaxed, PBE-GGA.

Values from the calculation:
- space group = P4/mmm (123)
- mass density (g/cm3) = 6.3
- energy of formation (meV/atom) = 581

Lattice parameters (Å, degrees): 4.2083 4.7449 4.2083 90.00 90.00 90.00
Fractional coordinates of all 5 atoms:
Sc1 0.5000 0.5000 0.5000
B1 0.0000 0.0000 0.5000
B2 0.5000 0.0000 0.0000
Ga1 0.0000 0.5000 0.0000
W1 0.0000 0.0000 0.0000


Record 4
GaBSe3: relaxed, PBE-GGA.

Values from the calculation:
- raw formation energy (meV per atom) = 1142.6
- space group = Pm-3m (221)
- mass density (g/cm3) = 4.3

Lattice parameters (Å, degrees): 4.9688 4.9688 4.9688 90.00 90.00 90.00
Fractional coordinates of all 5 atoms:
B1 0.5000 0.5000 0.5000
Ga1 0.0000 0.0000 0.0000
Se1 0.0000 0.5000 0.0000
Se2 0.0000 0.0000 0.5000
Se3 0.5000 0.0000 0.0000


Record 5
Ga2BSe6: relaxed, PBE-GGA.

Values from the calculation:
- raw formation energy (meV per atom) = -204.8
- space group = C2/c (15)
- mass density (g/cm3) = 4.6

Lattice parameters (Å, degrees): 6.9926 8.2398 8.2398 93.63 78.18 78.18
Fractional coordinates of all 18 atoms:
Ga1 0.0615 0.6310 0.7653
Ga2 0.4385 0.2347 0.3690
Ga3 0.9385 0.3690 0.2347
Ga4 0.5615 0.7653 0.6310
B1 0.2500 0.1810 0.8190
B2 0.7500 0.8190 0.1810
Se1 0.2636 0.7359 0.5405
Se2 0.2364 0.4595 0.2641
Se3 0.7364 0.2641 0.4595
Se4 0.7636 0.5405 0.7359
Se5 0.7901 0.8689 0.4162
Se6 0.7099 0.5838 0.1311
Se7 0.2099 0.1311 0.5838
Se8 0.2901 0.4162 0.8689
Se9 0.0182 0.8481 0.0277
Se10 0.4818 0.9723 0.1519
Se11 0.9818 0.1519 0.9723
Se12 0.5182 0.0277 0.8481


Record 6
GaB2Se: relaxed, PBE-GGA.

Values from the calculation:
- raw formation energy (meV per atom) = 1562.5
- space group = Fm-3m (225)
- energy relative to the lowest polymorph listed for this composition (eV/atom) = 1.046
- mass density (g/cm3) = 5.5

Lattice parameters (Å, degrees): 4.1738 4.1738 4.1738 60.00 60.00 60.00
Fractional coordinates of all 4 atoms:
B1 0.2500 0.2500 0.2500
B2 0.7500 0.7500 0.7500
Ga1 0.0000 0.0000 0.0000
Se1 0.5000 0.5000 0.5000


Record 7
Ga2BSe: relaxed, PBE-GGA.

Values from the calculation:
- raw formation energy (meV per atom) = 860.0
- space group = Fm-3m (225)
- energy relative to the lowest polymorph listed for this composition (eV/atom) = 0.825
- mass density (g/cm3) = 5.7

Lattice parameters (Å, degrees): 4.5494 4.5494 4.5494 60.00 60.00 60.00
Fractional coordinates of all 4 atoms:
B1 0.0000 0.0000 0.0000
Ga1 0.2500 0.2500 0.2500
Ga2 0.7500 0.7500 0.7500
Se1 0.5000 0.5000 0.5000


Record 8
GaB2Se: relaxed, PBE-GGA.

Values from the calculation:
- raw formation energy (meV per atom) = 516.9
- space group = I-42d (122)
- energy relative to the lowest polymorph listed for this composition (eV/atom) = 0.000
- mass density (g/cm3) = 4.9

Lattice parameters (Å, degrees): 4.9199 4.9199 5.9280 65.48 65.48 90.00
Fractional coordinates of all 8 atoms:
B1 0.6326 0.1250 0.2500
B2 0.1174 0.6250 0.2500
B3 0.3750 0.3674 0.7500
B4 0.8750 0.8826 0.7500
Ga1 0.5000 0.5000 0.0000
Ga2 0.2500 0.7500 0.5000
Se1 0.0000 0.0000 0.0000
Se2 0.7500 0.2500 0.5000


Record 9
Ga3BSe: relaxed, PBE-GGA.

Values from the calculation:
- raw formation energy (meV per atom) = 140.4
- space group = Pm-3m (221)
- energy relative to the lowest polymorph listed for this composition (eV/atom) = 0.000
- mass density (g/cm3) = 5.6

Lattice parameters (Å, degrees): 4.4516 4.4516 4.4516 90.00 90.00 90.00
Fractional coordinates of all 5 atoms:
B1 0.0000 0.0000 0.0000
Ga1 0.0000 0.5000 0.0000
Ga2 0.0000 0.0000 0.5000
Ga3 0.5000 0.0000 0.0000
Se1 0.5000 0.5000 0.5000


Record 10
Ga3BSe: relaxed, PBE-GGA.

Values from the calculation:
- raw formation energy (meV per atom) = 1335.1
- space group = Pm-3m (221)
- energy relative to the lowest polymorph listed for this composition (eV/atom) = 1.195
- mass density (g/cm3) = 3.9

Lattice parameters (Å, degrees): 5.0466 5.0466 5.0466 90.00 90.00 90.00
Fractional coordinates of all 5 atoms:
B1 0.5000 0.5000 0.5000
Ga1 0.0000 0.5000 0.0000
Ga2 0.0000 0.0000 0.5000
Ga3 0.5000 0.0000 0.0000
Se1 0.0000 0.0000 0.0000


Record 11
GaB2Se6: relaxed, PBE-GGA.

Values from the calculation:
- raw formation energy (meV per atom) = -74.1
- space group = C2/c (15)
- mass density (g/cm3) = 4.5

Lattice parameters (Å, degrees): 6.2433 8.4469 8.4469 82.75 75.05 75.05
Fractional coordinates of all 18 atoms:
Ga1 0.2500 0.2258 0.7742
Ga2 0.7500 0.7742 0.2258
B1 0.1117 0.6865 0.8254
B2 0.3883 0.1746 0.3135
B3 0.8883 0.3135 0.1746
B4 0.6117 0.8254 0.6865
Se1 0.3370 0.7720 0.6234
Se2 0.1630 0.3766 0.2280
Se3 0.6630 0.2280 0.3766
Se4 0.8370 0.6234 0.7720
Se5 0.8401 0.8605 0.4662
Se6 0.6599 0.5338 0.1395
Se7 0.1599 0.1395 0.5338
Se8 0.3401 0.4662 0.8605
Se9 0.0885 0.8153 0.0186
Se10 0.4115 0.9814 0.1847
Se11 0.9115 0.1847 0.9814
Se12 0.5885 0.0186 0.8153


Record 12
GaBSe3: relaxed, PBE-GGA.

Values from the calculation:
- raw formation energy (meV per atom) = 491.7
- space group = Pm-3m (221)
- mass density (g/cm3) = 5.6

Lattice parameters (Å, degrees): 4.5488 4.5488 4.5488 90.00 90.00 90.00
Fractional coordinates of all 5 atoms:
B1 0.0000 0.0000 0.0000
Ga1 0.5000 0.5000 0.5000
Se1 0.0000 0.5000 0.0000
Se2 0.0000 0.0000 0.5000
Se3 0.5000 0.0000 0.0000